Crystalline YTl2Cd2 at its relaxed geometry. Source: Alexandria via LeMat-Bulk, functional PBE.

energy of formation = -0.043 eV per atom
electronic total energy = -26.48 eV for the cell shown
excess energy over the best structure of this formula in the dataset = 0.0 meV/atom

a b c (Å): 8.314 8.314 3.880
angles (deg): 90.00 90.00 90.00
Atoms (fractional coordinates):
Y1 0.000 0.000 0.000
Y2 0.500 0.500 0.000
Tl1 0.180 0.320 0.500
Tl2 0.320 0.820 0.500
Tl3 0.680 0.180 0.500
Tl4 0.820 0.680 0.500
Cd1 0.123 0.623 0.000
Cd2 0.377 0.123 0.000
Cd3 0.623 0.877 0.000
Cd4 0.877 0.377 0.000


Crystalline Y5Tl4Cd at its relaxed geometry. Source: Alexandria via LeMat-Bulk, functional PBE.

energy of formation = -0.375 eV per atom
electronic total energy = -46.45 eV for the cell shown

a b c (Å): 3.772 3.772 19.107
angles (deg): 90.00 90.00 90.00
Atoms (fractional coordinates):
Y1 0.000 0.000 0.000
Y2 0.000 0.000 0.202
Y3 0.000 0.000 0.404
Y4 0.000 0.000 0.596
Y5 0.000 0.000 0.798
Tl1 0.500 0.500 0.101
Tl2 0.500 0.500 0.305
Tl3 0.500 0.500 0.695
Tl4 0.500 0.500 0.899
Cd1 0.500 0.500 0.500


Crystalline YTlCd at its relaxed geometry. Source: Alexandria via LeMat-Bulk, functional PBE.

energy of formation = -0.275 eV per atom
electronic total energy = -21.14 eV for the cell shown

a b c (Å): 4.761 4.635 7.519
angles (deg): 90.00 108.36 90.00
Atoms (fractional coordinates):
Y1 0.155 0.000 0.311
Y2 0.845 0.000 0.689
Tl1 0.000 0.500 0.000
Tl2 0.500 0.000 0.000
Cd1 0.321 0.500 0.643
Cd2 0.679 0.500 0.357


Crystalline YTlCd at its relaxed geometry. Source: Alexandria via LeMat-Bulk, functional PBE.

energy of formation = -0.278 eV per atom
electronic total energy = -21.16 eV for the cell shown

a b c (Å): 4.629 4.625 7.666
angles (deg): 90.00 107.48 90.00
Atoms (fractional coordinates):
Y1 0.000 0.000 0.000
Y2 0.312 0.000 0.624
Tl1 0.652 0.000 0.305
Tl2 0.834 0.500 0.669
Cd1 0.153 0.500 0.309
Cd2 0.487 0.500 0.975


Crystalline YTlCd4 at its relaxed geometry. Source: Alexandria via LeMat-Bulk, functional PBE.

energy of formation = -0.184 eV per atom
electronic total energy = -27.19 eV for the cell shown
excess energy over the best structure of this formula in the dataset = 0.0 meV/atom

a b c (Å): 6.509 5.062 9.510
angles (deg): 90.00 109.40 90.00
Atoms (fractional coordinates):
Y1 0.121 0.250 0.245
Y2 0.879 0.750 0.755
Tl1 0.384 0.750 0.764
Tl2 0.616 0.250 0.236
Cd1 0.040 0.250 0.581
Cd2 0.197 0.250 0.915
Cd3 0.280 0.750 0.086
Cd4 0.456 0.750 0.420
Cd5 0.544 0.250 0.580
Cd6 0.720 0.250 0.914
Cd7 0.803 0.750 0.085
Cd8 0.960 0.750 0.419


Crystalline Y2TlCd2 at its relaxed geometry. Source: Alexandria via LeMat-Bulk, functional PBE.

energy of formation = -0.061 eV per atom
electronic total energy = -17.43 eV for the cell shown
excess energy over the best structure of this formula in the dataset = 213.5 meV/atom

a b c (Å): 9.630 9.630 9.630
angles (deg): 156.41 156.41 33.61
Atoms (fractional coordinates):
Y1 0.101 0.101 0.000
Y2 0.899 0.899 0.000
Tl1 0.500 0.500 0.000
Cd1 0.250 0.750 0.500
Cd2 0.750 0.250 0.500


Spin magnetization? In order: 0.00; 0.00; 0.00; 0.00; 0.00; 0.00 μB/cell.